Record 1
# In2FeCl

A geometry-optimized In2FeCl structure (PBE, Alexandria).

Summary:
Fermi-level density of states, states/eV/f.u.: 4.20
Symmetry: R-3m
ΔE_f (raw), meV/atom: 23.8
Calculated density, g/cm3: 6.32
ΔE to the lowest computed polymorph, meV/atom: 112
VASP energy, eV for the cell shown: -15.7

abc: 8.349 8.349 8.349
angles: 23.97 23.97 23.97
Atoms (fractional coordinates):
Cl  0.250  0.250  0.250
In  0.490  0.490  0.490
In  0.010  0.010  0.010
Fe  0.750  0.750  0.750

Record 2
# La5Ho2Tl4

A geometry-optimized La5Ho2Tl4 structure (PBE, Alexandria).

Summary:
Fermi-level density of states, states/eV/f.u.: 14.20
Symmetry: P2/m
Calculated density, g/cm3: 8.98
DFT formation energy, meV/atom: -234
VASP energy, eV for the cell shown: -45.8

abc: 3.494 8.963 10.929
angles: 84.42 90.00 90.00
Atoms (fractional coordinates):
La  0.000  0.159  0.863
La  0.000  0.841  0.137
La  0.000  0.536  0.662
La  0.000  0.500  0.000
La  0.000  0.464  0.338
Tl  0.500  0.200  0.130
Tl  0.500  0.237  0.574
Tl  0.500  0.763  0.426
Tl  0.500  0.800  0.870
Ho  0.000  0.077  0.361
Ho  0.000  0.923  0.639

Record 3
# Nb2AlMo2

A geometry-optimized Nb2AlMo2 structure (PBE, Alexandria).

Summary:
Fermi-level density of states, states/eV/f.u.: 4.20
Symmetry: Imma
Calculated density, g/cm3: 7.17
DFT formation energy, meV/atom: 215
VASP energy, eV for the cell shown: -88.9

abc: 6.343 4.401 7.742
angles: 73.49 114.19 90.00
Atoms (fractional coordinates):
Mo  0.939  0.427  0.648
Mo  0.061  0.573  0.352
Mo  0.292  0.073  0.352
Mo  0.708  0.927  0.648
Nb  0.210  0.900  0.701
Nb  0.790  0.100  0.299
Nb  0.490  0.400  0.701
Nb  0.510  0.600  0.299
Al  0.326  0.250  0.000
Al  0.674  0.750  0.000

Record 4
# Tl2SiNiH

A geometry-optimized Tl2SiNiH structure (PBE, Alexandria).

Summary:
Fermi-level density of states, states/eV/f.u.: 2.92
Symmetry: P4/mmm
Calculated density, g/cm3: 9.06
VASP energy, eV for the cell shown: -17.0

abc: 5.418 3.100 5.418
angles: 90.00 90.00 90.00
Atoms (fractional coordinates):
Si  0.500  0.500  0.500
Tl  0.500  0.000  0.000
Tl  0.000  0.000  0.500
H  0.000  0.000  0.000
Ni  0.000  0.500  0.000

Record 5
# ZrHg2Au

A geometry-optimized ZrHg2Au structure (PBE, Alexandria).

Summary:
Fermi-level density of states, states/eV/f.u.: 2.28
Symmetry: F-43m
Calculated density, g/cm3: 13.86
DFT formation energy, meV/atom: -128
ΔE to the lowest computed polymorph, meV/atom: 31
VASP energy, eV for the cell shown: -12.9

abc: 4.888 4.888 4.888
angles: 60.00 60.00 60.00
Atoms (fractional coordinates):
Hg  0.000  0.000  0.000
Hg  0.750  0.750  0.750
Zr  0.250  0.250  0.250
Au  0.500  0.500  0.500

Record 6
# Tm7Fe2Te2

A geometry-optimized Tm7Fe2Te2 structure (PBE, Alexandria).

Summary:
Fermi-level density of states, states/eV/f.u.: 9.01
Symmetry: Imm2
ΔE_f (raw), meV/atom: -495.4
Calculated density, g/cm3: 9.32
VASP energy, eV for the cell shown: -60.0

abc: 3.848 9.233 9.233
angles: 60.15 77.97 77.97
Atoms (fractional coordinates):
Te  0.500  0.361  0.639
Te  0.000  0.758  0.242
Tm  0.186  0.712  0.916
Tm  0.500  0.025  0.975
Tm  0.814  0.084  0.288
Tm  0.364  0.743  0.530
Tm  0.151  0.109  0.590
Tm  0.636  0.470  0.257
Tm  0.849  0.410  0.891
Fe  0.736  0.855  0.673
Fe  0.264  0.327  0.145

Repeat the sixth record exactly.
# Tm7Fe2Te2

A geometry-optimized Tm7Fe2Te2 structure (PBE, Alexandria).

Summary:
Fermi-level density of states, states/eV/f.u.: 9.01
Symmetry: Imm2
ΔE_f (raw), meV/atom: -495.4
Calculated density, g/cm3: 9.32
VASP energy, eV for the cell shown: -60.0

abc: 3.848 9.233 9.233
angles: 60.15 77.97 77.97
Atoms (fractional coordinates):
Te  0.500  0.361  0.639
Te  0.000  0.758  0.242
Tm  0.186  0.712  0.916
Tm  0.500  0.025  0.975
Tm  0.814  0.084  0.288
Tm  0.364  0.743  0.530
Tm  0.151  0.109  0.590
Tm  0.636  0.470  0.257
Tm  0.849  0.410  0.891
Fe  0.736  0.855  0.673
Fe  0.264  0.327  0.145